Entry A
Compound: TlCdP2
Source: the Alexandria database
Functional: PBE
Structure: relaxed

Unit cell a=3.2231 b=3.2231 c=29.2620 alpha=90.00 beta=90.00 gamma=120.00
Atoms (fractional coordinates):
Tl: 0.0000 0.0000 0.0000
Tl: 0.3333 0.6667 0.6667
Tl: 0.6667 0.3333 0.3333
Cd: 0.0000 0.0000 0.5000
Cd: 0.3333 0.6667 0.1667
Cd: 0.6667 0.3333 0.8333
P: 0.0000 0.0000 0.2381
P: 0.0000 0.0000 0.7619
P: 0.3333 0.6667 0.4286
P: 0.3333 0.6667 0.9047
P: 0.6667 0.3333 0.0953
P: 0.6667 0.3333 0.5714


Entry B
Compound: TlCdP2
Source: the Alexandria database
Functional: PBE
Structure: relaxed

Unit cell a=3.8909 b=3.2917 c=7.6604 alpha=90.00 beta=104.46 gamma=90.00
Atoms (fractional coordinates):
Tl: 0.0000 0.0000 0.0000
Cd: 0.3554 0.5000 0.6900
P: 0.6460 0.5000 0.2755
P: 0.7437 0.0000 0.4697


Entry C
Compound: TlCdP2
Source: the Alexandria database
Functional: PBE
Structure: relaxed

Unit cell a=5.7682 b=7.7175 c=3.8258 alpha=90.00 beta=90.00 gamma=90.00
Atoms (fractional coordinates):
Tl: 0.0000 0.0000 0.0000
Tl: 0.5000 0.5000 0.0000
Cd: 0.0000 0.5000 0.0000
Cd: 0.5000 0.0000 0.0000
P: 0.2500 0.2500 0.5000
P: 0.2500 0.7500 0.5000
P: 0.7500 0.2500 0.5000
P: 0.7500 0.7500 0.5000


If we sort the structures by their calculated energies, the order from most to least stable is entry B, entry A, entry C.